# 1
Material: Sr2YHg2
Method: DFT, GGA-PBE
State: optimized geometry

Lattice parameters (Å, degrees): 8.607 8.607 4.546 90.00 90.00 90.00
Space group P4/mbm (No. 127)
One atom of each set of equivalent atoms:
Sr 0.160 0.340 0.000 x4
Y 0.000 0.000 0.500 x2
Hg 0.144 0.644 0.500 x4

Summary:
Formation energy from the elements = -335 meV/atom
Energy above the lowest structure with this stoichiometry = 0.00 eV/f.u.


# 2
Material: Sr2YHg
Method: DFT, GGA-PBE
State: optimized geometry

Lattice parameters (Å, degrees): 5.549 5.549 4.614 90.00 90.00 90.00
Space group P4/mmm (No. 123)
One atom of each set of equivalent atoms:
Sr 0.000 0.500 0.000 x2
Y 0.000 0.000 0.500 x1
Hg 0.500 0.500 0.500 x1

Summary:
Formation energy from the elements = -7 meV/atom


# 3
Material: SrYHg
Method: DFT, GGA-PBE
State: optimized geometry

Lattice parameters (Å, degrees): 3.865 3.865 13.527 90.00 90.00 90.00
Space group I4mm (No. 107)
One atom of each set of equivalent atoms:
Sr 0.000 0.000 0.000 x2
Y 0.000 0.000 0.724 x2
Hg 0.000 0.000 0.334 x2

Summary:
Formation energy from the elements = -283 meV/atom
Energy above the lowest structure with this stoichiometry = 0.00 eV/f.u.


# 4
Material: SrYHg2
Method: DFT, GGA-PBE
State: optimized geometry

Lattice parameters (Å, degrees): 3.9585 3.9585 29.2876 90.00 90.00 120.00
Space group R3m (No. 160, hexagonal axes)
One atom of each set of equivalent atoms:
Sr 0.0000 0.0000 0.0000 x3
Y 0.0000 0.0000 0.7787 x3
Hg 0.0000 0.0000 0.2523 x3
Hg 0.0000 0.0000 0.5168 x3

Summary:
Formation energy from the elements = -148 meV/atom


# 5
Material: Sr2YHg
Method: DFT, GGA-PBE
State: optimized geometry

Lattice parameters (Å, degrees): 9.636 9.636 6.772 90.00 90.00 90.00
Space group I-42d (No. 122)
One atom of each set of equivalent atoms:
Sr 0.188 0.250 0.125 x8
Y 0.000 0.000 0.500 x4
Hg 0.000 0.000 0.000 x4

Summary:
Formation energy from the elements = 74 meV/atom


# 6
Material: Sr2YHg2
Method: DFT, GGA-PBE
State: optimized geometry

Lattice parameters (Å, degrees): 5.093 5.093 13.564 90.00 90.00 90.00
Space group I4/mmm (No. 139)
One atom of each set of equivalent atoms:
Sr 0.000 0.500 0.250 x4
Y 0.000 0.000 0.000 x2
Hg 0.000 0.000 0.399 x4

Summary:
Formation energy from the elements = -54 meV/atom
Energy above the lowest structure with this stoichiometry = 1.41 eV/f.u.